A relaxed AlIrN2 crystal. Source: Alexandria, functional GGA-PBE.

Cell lengths 6.1203, 6.1203, 6.1203 Å; angles 29.50, 29.50, 29.50 degrees
Atoms (fractional coordinates):
N  0.1071  0.1071  0.1071
Ir  0.5000  0.5000  0.5000
Al  0.0000  0.0000  0.0000
N  0.8929  0.8929  0.8929

Results
Calculated total energy, eV per atom: -6.95
Spin magnetization, μB per cell: 0.0
Formation energy without anion corrections, meV per atom: 366